A plane-wave DFT calculation with GGA-PBE was carried out for crystalline CoRuW2 at its relaxed geometry.

Cell: 4.3820 2.7625 4.6992 Å, 89.82 90.00 90.00°
With the nearest neighbours (Å) after each atom.
Sites, in units of the cell vectors:
Co 0.0000 0.6239 0.4402  8 W 2.65-2.76, 2 Co 2.76, 2 Ru 2.77
Ru 0.5000 0.6260 0.7992  8 W 2.67-2.79, 2 Ru 2.76, 2 Co 2.77
W 0.0000 0.1222 0.9480  4 Ru 2.68-2.69, 4 Co 2.69-2.76, 4 W 2.76-2.78
W 0.5000 0.1279 0.3126  4 Co 2.65-2.66, 4 Ru 2.67-2.79, 4 W 2.76-2.78

Properties
Energy of formation from the pure elements = 0.09 eV/atom
Space group = Pm (6)
ΔE to the lowest computed polymorph = 0.21 eV per formula unit